[1]
# GGA-PBE TmHRu, optimized geometry
data_TmHRu
_cell_length_a 3.3602
_cell_length_b 3.3602
_cell_length_c 4.2823
_cell_angle_alpha 90.00
_cell_angle_beta 90.00
_cell_angle_gamma 120.00
_symmetry_space_group_name_H-M 'P -6 m 2'
_symmetry_Int_Tables_number 187
_symmetry_space_group_name_Hall 'P -6 2'
loop_
_atom_site_label
_atom_site_fract_x
_atom_site_fract_y
_atom_site_fract_z
Tm1 0.0000 0.0000 0.0000
H1 0.3333 0.6667 0.5000
Ru1 0.6667 0.3333 0.5000
# calculated total energy = -5.865 eV/atom



[2]
# GGA-PBE TmH3Ru, optimized geometry
data_TmH3Ru
_cell_length_a 3.615
_cell_length_b 3.615
_cell_length_c 3.615
_cell_angle_alpha 90.00
_cell_angle_beta 90.00
_cell_angle_gamma 90.00
_symmetry_space_group_name_H-M 'P m -3 m'
_symmetry_Int_Tables_number 221
_symmetry_space_group_name_Hall '-P 4 2 3'
loop_
_atom_site_label
_atom_site_fract_x
_atom_site_fract_y
_atom_site_fract_z
Tm1 0.000 0.000 0.000
H1 0.000 0.500 0.500
Ru1 0.500 0.500 0.500
# calculated total energy = -5.198 eV/atom



[3]
# GGA-PBE Tm2H2Ru, optimized geometry
data_Tm2H2Ru
_cell_length_a 3.339
_cell_length_b 3.339
_cell_length_c 6.532
_cell_angle_alpha 90.00
_cell_angle_beta 90.00
_cell_angle_gamma 90.00
_symmetry_space_group_name_H-M 'P 4/m m m'
_symmetry_Int_Tables_number 123
_symmetry_space_group_name_Hall '-P 4 2'
loop_
_atom_site_label
_atom_site_fract_x
_atom_site_fract_y
_atom_site_fract_z
Tm1 0.000 0.000 0.243
H1 0.000 0.500 0.000
Ru1 0.500 0.500 0.500
# calculated total energy = -5.424 eV/atom